Material: LaZrNO
Method: DFT, PBE-GGA
State: relaxed

Cell lengths 4.2869, 4.2869, 8.7497 Å; angles 90.00, 90.00, 90.00 degrees
Space group P4/nmm (No. 129, origin choice 2)
Inequivalent atoms, fractional coordinates:
La 0.2500 0.2500 0.1262 x2
Zr 0.2500 0.7500 0.5000 x2
N 0.2500 0.2500 0.5437 x2
O 0.2500 0.7500 0.0000 x2

Output
Distance to the lowest polymorph of the same formula = 0 meV per atom